Compound: LiAgSbPd
Source: the Alexandria database
Functional: PBE-GGA
Structure: relaxed

CIF file:
```
data_LiAgSbPd
_chemical_formula_sum 'Li4 Ag4 Sb4 Pd4'
_cell_length_a 6.548
_cell_length_b 6.548
_cell_length_c 6.548
_cell_angle_alpha 90.00
_cell_angle_beta 90.00
_cell_angle_gamma 90.00
_space_group_name_H-M_alt 'F -4 3 m'
_space_group_IT_number 216
_space_group_name_Hall 'F -4 2 3'
loop_
_atom_site_label
_atom_site_type_symbol
_atom_site_fract_x
_atom_site_fract_y
_atom_site_fract_z
_atom_site_occupancy
Li1 Li 0.000 0.000 0.000 1
Ag1 Ag 0.250 0.250 0.750 1
Sb1 Sb 0.000 0.000 0.500 1
Pd1 Pd 0.250 0.250 0.250 1
```

Computed properties:
**DOS at the Fermi energy**: 8.56 states/eV per cell
**Energy above the lowest structure with this stoichiometry**: 0.0 kJ per mole of atoms
**E_form (uncorrected)**: -0.40 eV/atom
**Mass density**: 8.11 Mg/m³